No. 1
Computed, not measured: HoTiTcNi after structural relaxation at the PBE level of DFT.

Results
Fermi-level density of states: 0.722 states/eV per atom
V: 16.7 A^3/atom
Symmetry: F-43m, No. 216
ΔH_f (0 K): -0.931 eV/f.u.

Unit cell a=4.5515 b=4.5515 c=4.5515 alpha=60.00 beta=60.00 gamma=60.00
Positions (direct):
1 Ni 0.5000 0.5000 0.5000
2 Tc 0.0000 0.0000 0.0000
3 Ti 0.2500 0.2500 0.2500
4 Ho 0.7500 0.7500 0.7500

---

No. 2
Computed, not measured: Co2CuNi after structural relaxation at the PBE level of DFT.

Results
Fermi-level density of states: 1.324 states/eV per atom
V: 11.2 A^3/atom
Symmetry: C2/m, No. 12
ΔH_f (0 K): 0.419 eV/f.u.

Unit cell a=5.4996 b=4.4233 c=2.4682 alpha=89.80 beta=63.70 gamma=119.87
Positions (direct):
1 Ni 0.5000 0.5000 0.0000
2 Cu 0.0000 0.5000 0.5000
3 Co 0.0000 0.0000 0.0000
4 Co 0.5000 0.0000 0.5000

---

No. 3
Computed, not measured: YAgTe2 after structural relaxation at the PBE level of DFT.

Results
V: 29.2 A^3/atom
Symmetry: R3m, No. 160
Energy relative to the elements, uncorrected: -0.796 eV per atom

Unit cell a=4.2723 b=4.2723 c=7.7815 alpha=74.07 beta=74.07 gamma=60.00
Positions (direct):
1 Ag 0.6652 0.6652 0.0045
2 Te 0.0804 0.0804 0.7589
3 Y 0.5011 0.5011 0.4967
4 Te 0.2534 0.2534 0.2399

---

No. 4
Computed, not measured: Sr2HF8 after structural relaxation at the PBE level of DFT.

Results
Fermi-level density of states: 0.601 states/eV per atom
V: 13.6 A^3/atom
Symmetry: Immm, No. 71
VASP energy: -47.10 eV for the cell shown

Unit cell a=4.6582 b=6.7414 c=7.4010 alpha=62.91 beta=71.64 gamma=46.24
Positions (direct):
1 H 0.5000 0.0000 0.0000
2 F 0.8183 0.3133 0.7367
3 F 0.1817 0.9500 0.7367
4 F 0.7353 0.7648 0.0000
5 F 0.2647 0.2352 0.0000
6 F 0.5000 0.7655 0.4689
7 F 0.5000 0.2345 0.5311
8 Sr 0.0000 0.3364 0.3272
9 F 0.1817 0.6867 0.2633
10 Sr 0.0000 0.6636 0.6728
11 F 0.8183 0.0500 0.2633

---

No. 5
Computed, not measured: RbCaCo2 after structural relaxation at the PBE level of DFT.

Results
Fermi-level density of states: 1.189 states/eV per atom
V: 29.7 A^3/atom
Symmetry: I4_1/amd, No. 141
ΔH_f (0 K): 4.060 eV/f.u.

Unit cell a=4.9092 b=4.9092 c=10.4584 alpha=76.43 beta=76.43 gamma=90.00
Positions (direct):
1 Ca 0.2500 0.7500 0.5000
2 Rb 0.0000 0.0000 0.0000
3 Co 0.3748 0.1250 0.2500
4 Co 0.3752 0.6250 0.2500
5 Co 0.8750 0.6248 0.7500
6 Ca 0.5000 0.5000 0.0000
7 Co 0.3750 0.6252 0.7500
8 Rb 0.7500 0.2500 0.5000

---

No. 6
Computed, not measured: Ho2HfMgAs4 after structural relaxation at the PBE level of DFT.

Results
Fermi-level density of states: 0.140 states/eV per atom
V: 22.5 A^3/atom
Symmetry: P2/m, No. 10
ΔH_f (0 K): -8.954 eV/f.u.

Unit cell a=3.9941 b=6.9659 c=6.8719 alpha=109.78 beta=90.00 gamma=90.00
Positions (direct):
1 As 0.0000 0.2510 0.7660
2 Ho 0.0000 0.5000 0.5000
3 Mg 0.5000 0.5000 0.0000
4 Hf 0.0000 0.0000 0.0000
5 As 0.5000 0.7592 0.7644
6 Ho 0.5000 0.0000 0.5000
7 As 0.5000 0.2408 0.2356
8 As 0.0000 0.7490 0.2340

---

No. 7
Computed, not measured: Pr7DyEr2 after structural relaxation at the PBE level of DFT.

Results
Fermi-level density of states: 1.541 states/eV per atom
V: 42.2 A^3/atom
Symmetry: Cmmm, No. 65
ΔH_f (0 K): 6.292 eV/f.u.

Unit cell a=5.7122 b=9.3875 c=9.3875 alpha=123.06 beta=90.00 gamma=90.00
Positions (direct):
1 Pr 0.5000 0.2935 0.0661
2 Er 0.5000 0.7051 0.2949
3 Pr 0.0000 0.2221 0.7779
4 Er 0.5000 0.2949 0.7051
5 Pr 0.5000 0.5000 0.5000
6 Pr 0.5000 0.7065 0.9339
7 Dy 0.0000 0.0000 0.0000
8 Pr 0.0000 0.7779 0.2221
9 Pr 0.5000 0.9339 0.7065
10 Pr 0.5000 0.0661 0.2935

---

No. 8
Computed, not measured: Re2Sb3 after structural relaxation at the PBE level of DFT.

Results
Fermi-level density of states: 1.007 states/eV per atom
V: 21.9 A^3/atom
Symmetry: R-3m, No. 166
Energy relative to the elements, uncorrected: 0.491 eV per atom

Unit cell a=12.4363 b=12.4363 c=12.4363 alpha=14.81 beta=14.81 gamma=14.81
Positions (direct):
1 Sb 0.2208 0.2208 0.2208
2 Sb 0.7792 0.7792 0.7792
3 Re 0.3907 0.3907 0.3907
4 Re 0.6093 0.6093 0.6093
5 Sb 0.0000 0.0000 0.0000

---

No. 9
Computed, not measured: PRuS2O after structural relaxation at the PBE level of DFT.

Results
Fermi-level density of states: 0.520 states/eV per atom
V: 13.8 A^3/atom
Symmetry: P4/mmm, No. 123
Energy relative to the elements, uncorrected: 0.878 eV per atom

Unit cell a=4.1868 b=4.1868 c=3.9472 alpha=90.00 beta=90.00 gamma=90.00
Positions (direct):
1 P 0.0000 0.0000 0.5000
2 S 0.0000 0.5000 0.0000
3 S 0.5000 0.0000 0.0000
4 Ru 0.5000 0.5000 0.5000
5 O 0.0000 0.0000 0.0000

---

No. 10
Computed, not measured: RuPb2Se after structural relaxation at the PBE level of DFT.

Results
Fermi-level density of states: 0.731 states/eV per atom
V: 23.6 A^3/atom
Symmetry: P4mm, No. 99
Energy relative to the elements, uncorrected: 0.087 eV per atom

Unit cell a=3.2308 b=3.2308 c=9.0438 alpha=90.00 beta=90.00 gamma=90.00
Positions (direct):
1 Se 0.5000 0.5000 0.6737
2 Pb 0.0000 0.0000 0.9753
3 Ru 0.0000 0.0000 0.5458
4 Pb 0.5000 0.5000 0.3052

---

No. 11
Computed, not measured: NaHfGeRh2 after structural relaxation at the PBE level of DFT.

Results
Fermi-level density of states: 0.566 states/eV per atom
V: 24.8 A^3/atom
Symmetry: P4/mmm, No. 123
ΔH_f (0 K): 4.382 eV/f.u.

Unit cell a=4.7438 b=5.5020 c=4.7438 alpha=90.00 beta=90.00 gamma=90.00
Positions (direct):
1 Na 0.0000 0.5000 0.0000
2 Hf 0.0000 0.0000 0.0000
3 Rh 0.0000 0.0000 0.5000
4 Ge 0.5000 0.5000 0.5000
5 Rh 0.5000 0.0000 0.0000

---

No. 12
Computed, not measured: BaHgBi2Ru after structural relaxation at the PBE level of DFT.

Results
Fermi-level density of states: 2.355 states/eV per atom
V: 50.4 A^3/atom
Symmetry: P4/mmm, No. 123
ΔH_f (0 K): 7.842 eV/f.u.

Unit cell a=6.4009 b=6.1458 c=6.4009 alpha=90.00 beta=90.00 gamma=90.00
Positions (direct):
1 Hg 0.0000 0.5000 0.0000
2 Ba 0.0000 0.0000 0.0000
3 Ru 0.5000 0.5000 0.5000
4 Bi 0.5000 0.0000 0.0000
5 Bi 0.0000 0.0000 0.5000

---

No. 13
Computed, not measured: Ce2SmRu2 after structural relaxation at the PBE level of DFT.

Results
Fermi-level density of states: 1.455 states/eV per atom
V: 23.7 A^3/atom
Symmetry: C2/m, No. 12
ΔH_f (0 K): -0.815 eV/f.u.

Unit cell a=4.5141 b=4.5140 c=6.5318 alpha=70.87 beta=70.87 gamma=85.58
Positions (direct):
1 Ce 0.2395 0.7605 0.5000
2 Ru 0.4546 0.4546 0.2185
3 Ce 0.7605 0.2395 0.5000
4 Sm 0.0000 0.0000 0.0000
5 Ru 0.5454 0.5454 0.7815

---

No. 14
Computed, not measured: Ca2LaSc after structural relaxation at the PBE level of DFT.

Results
Fermi-level density of states: 1.872 states/eV per atom
V: 35.0 A^3/atom
Symmetry: Cmmm, No. 65
ΔH_f (0 K): 0.756 eV/f.u.

Unit cell a=3.5363 b=3.5363 c=12.0096 alpha=90.00 beta=90.00 gamma=111.34
Positions (direct):
1 Ca 0.0000 0.0000 0.9836
2 La 0.5000 0.5000 0.2500
3 Ca 0.0000 0.0000 0.5164
4 Sc 0.5000 0.5000 0.7500

---

No. 15
Computed, not measured: Pu4Ge3H2 after structural relaxation at the PBE level of DFT.

Results
Fermi-level density of states: 3.380 states/eV per atom
V: 19.8 A^3/atom
Symmetry: C2/m, No. 12
VASP energy: -80.88 eV for the cell shown

Unit cell a=4.1243 b=6.3302 c=7.9864 alpha=116.68 beta=104.97 gamma=90.00
Positions (direct):
1 H 0.6879 0.0027 0.3759
2 Ge 0.1285 0.5475 0.2571
3 Ge 0.8715 0.4525 0.7429
4 Ge 0.0000 0.0000 0.0000
5 H 0.3120 0.9973 0.6241
6 Pu 0.5275 0.7307 0.0549
7 Pu 0.2161 0.1891 0.4322
8 Pu 0.4725 0.2693 0.9451
9 Pu 0.7839 0.8109 0.5678

---

No. 16
Computed, not measured: LiSm2PtO5 after structural relaxation at the PBE level of DFT.

Results
Fermi-level density of states: 0.700 states/eV per atom
V: 14.5 A^3/atom
Symmetry: P4/mbm, No. 127
Energy relative to the elements, uncorrected: -2.186 eV per atom

Unit cell a=5.8196 b=6.7066 c=6.7066 alpha=90.00 beta=90.00 gamma=90.00
Positions (direct):
1 Li 0.0000 0.0000 0.0000
2 Sm 0.5000 0.1762 0.3238
3 O 0.5000 0.0000 0.0000
4 O 0.2552 0.3631 0.1369
5 O 0.7448 0.8631 0.3631
6 O 0.7448 0.1369 0.6369
7 O 0.2552 0.8631 0.3631
8 Li 0.0000 0.5000 0.5000
9 Pt 0.0000 0.5000 0.0000
10 Sm 0.5000 0.3238 0.8238
11 Pt 0.0000 0.0000 0.5000
12 O 0.2552 0.1369 0.6369
13 Sm 0.5000 0.8238 0.6762
14 O 0.7448 0.3631 0.1369
15 O 0.2552 0.6369 0.8631
16 Sm 0.5000 0.6762 0.1762
17 O 0.7448 0.6369 0.8631
18 O 0.5000 0.5000 0.5000

---

No. 17
Computed, not measured: SbTe2MoSe after structural relaxation at the PBE level of DFT.

Results
Fermi-level density of states: 0.649 states/eV per atom
V: 31.3 A^3/atom
Symmetry: P4/mmm, No. 123
Energy relative to the elements, uncorrected: 1.149 eV per atom

Unit cell a=5.3807 b=5.3807 c=5.4120 alpha=90.00 beta=90.00 gamma=90.00
Positions (direct):
1 Mo 0.5000 0.5000 0.5000
2 Sb 0.0000 0.0000 0.5000
3 Se 0.0000 0.0000 0.0000
4 Te 0.5000 0.0000 0.0000
5 Te 0.0000 0.5000 0.0000

---

No. 18
Computed, not measured: TlTcHg2Cl8 after structural relaxation at the PBE level of DFT.

Results
V: 32.2 A^3/atom
Symmetry: P-1, No. 2
Energy relative to the elements, uncorrected: -0.675 eV per atom

Unit cell a=6.3995 b=7.2262 c=8.8280 alpha=77.22 beta=85.92 gamma=102.33
Positions (direct):
1 Cl 0.4983 0.7471 0.5224
2 Hg 0.6325 0.5431 0.2690
3 Cl 0.8812 0.1848 0.1639
4 Hg 0.3675 0.4569 0.7310
5 Cl 0.9491 0.2349 0.7747
6 Cl 0.0509 0.7651 0.2253
7 Tl 0.0000 0.0000 0.5000
8 Cl 0.6437 0.8011 0.0264
9 Cl 0.5017 0.2529 0.4776
10 Cl 0.3563 0.1989 0.9736
11 Cl 0.1188 0.8152 0.8361
12 Tc 0.0000 0.0000 0.0000

---

No. 19
Computed, not measured: TlFeBr2 after structural relaxation at the PBE level of DFT.

Results
Fermi-level density of states: 1.108 states/eV per atom
V: 30.3 A^3/atom
Symmetry: I-4m2, No. 119
Energy relative to the elements, uncorrected: 0.195 eV per atom

Unit cell a=7.2936 b=7.2936 c=7.2936 alpha=145.93 beta=145.93 gamma=48.95
Positions (direct):
1 Tl 0.7500 0.2500 0.5000
2 Br 0.2500 0.7500 0.5000
3 Fe 0.5000 0.5000 0.0000
4 Br 0.0000 0.0000 0.0000

---

No. 20
Computed, not measured: KYO2 after structural relaxation at the PBE level of DFT.

Results
Fermi-level density of states: 0.000 states/eV per atom
V: 16.7 A^3/atom
Symmetry: R3m, No. 160
Energy relative to the elements, uncorrected: -2.706 eV per atom

Unit cell a=3.4723 b=3.4723 c=6.6995 alpha=74.98 beta=74.98 gamma=60.00
Positions (direct):
1 K 0.4966 0.4966 0.5101
2 O 0.0629 0.0629 0.8112
3 O 0.2733 0.2733 0.1801
4 Y 0.6671 0.6671 0.9987

---

No. 21
Computed, not measured: K2InBiH after structural relaxation at the PBE level of DFT.

Results
Fermi-level density of states: 0.158 states/eV per atom
V: 27.9 A^3/atom
Symmetry: P4/mmm, No. 123
VASP energy: -12.82 eV for the cell shown

Unit cell a=5.0143 b=5.0143 c=5.5390 alpha=90.00 beta=90.00 gamma=90.00
Positions (direct):
1 K 0.5000 0.0000 0.0000
2 H 0.0000 0.0000 0.0000
3 K 0.0000 0.5000 0.0000
4 In 0.0000 0.0000 0.5000
5 Bi 0.5000 0.5000 0.5000

---

No. 22
Computed, not measured: YTl2Pd6 after structural relaxation at the PBE level of DFT.

Results
Fermi-level density of states: 0.592 states/eV per atom
V: 18.1 A^3/atom
Symmetry: C2/m, No. 12
ΔH_f (0 K): -3.589 eV/f.u.

Unit cell a=4.2836 b=5.0436 c=8.9302 alpha=69.96 beta=76.12 gamma=64.87
Positions (direct):
1 Pd 0.0152 0.8050 0.1645
2 Y 0.0000 0.5000 0.5000
3 Pd 0.6600 0.0689 0.6112
4 Pd 0.3452 0.2531 0.0565
5 Pd 0.9848 0.1950 0.8355
6 Pd 0.3400 0.9311 0.3888
7 Tl 0.3062 0.6397 0.7479
8 Pd 0.6548 0.7469 0.9435
9 Tl 0.6938 0.3603 0.2521

---

No. 23
Computed, not measured: CeScP2S8 after structural relaxation at the PBE level of DFT.

Results
Fermi-level density of states: 0.494 states/eV per atom
V: 25.4 A^3/atom
Symmetry: P-3m1, No. 164
Energy relative to the elements, uncorrected: -0.740 eV per atom

Unit cell a=6.5534 b=6.5534 c=8.1991 alpha=90.00 beta=90.00 gamma=120.00
Positions (direct):
1 S 0.8393 0.1607 0.2208
2 Ce 0.0000 0.0000 0.5000
3 Sc 0.0000 0.0000 0.0000
4 S 0.1607 0.3215 0.7792
5 S 0.8393 0.6785 0.2208
6 S 0.1607 0.8393 0.7792
7 P 0.6667 0.3333 0.3022
8 S 0.3333 0.6667 0.4564
9 S 0.6667 0.3333 0.5436
10 S 0.6785 0.8393 0.7792
11 P 0.3333 0.6667 0.6978
12 S 0.3215 0.1607 0.2208

---

No. 24
Computed, not measured: LiPtRh2 after structural relaxation at the PBE level of DFT.

Results
Fermi-level density of states: 1.337 states/eV per atom
V: 13.9 A^3/atom
Symmetry: P4/mmm, No. 123
ΔH_f (0 K): -0.701 eV/f.u.

Unit cell a=3.8898 b=3.7873 c=3.7873 alpha=90.00 beta=90.00 gamma=90.00
Positions (direct):
1 Rh 0.0000 0.0000 0.0000
2 Li 0.5000 0.5000 0.0000
3 Rh 0.0000 0.5000 0.5000
4 Pt 0.5000 0.0000 0.5000

---

No. 25
Computed, not measured: RbRe3Ir after structural relaxation at the PBE level of DFT.

Results
Fermi-level density of states: 1.064 states/eV per atom
V: 23.3 A^3/atom
Symmetry: Pm-3m, No. 221
ΔH_f (0 K): 11.300 eV/f.u.

Unit cell a=4.8842 b=4.8842 c=4.8842 alpha=90.00 beta=90.00 gamma=90.00
Positions (direct):
1 Re 0.0000 0.0000 0.5000
2 Re 0.0000 0.5000 0.0000
3 Re 0.5000 0.0000 0.0000
4 Ir 0.0000 0.0000 0.0000
5 Rb 0.5000 0.5000 0.5000

---

No. 26
Computed, not measured: YMoRh2 after structural relaxation at the PBE level of DFT.

Results
Fermi-level density of states: 1.081 states/eV per atom
V: 17.6 A^3/atom
Symmetry: Imm2, No. 44
ΔH_f (0 K): -0.333 eV/f.u.

Unit cell a=5.7961 b=5.7961 c=5.7961 alpha=150.20 beta=132.84 gamma=56.79
Positions (direct):
1 Y 0.5020 0.5020 0.0000
2 Rh 0.7704 0.2704 0.5000
3 Mo 0.2222 0.7222 0.5000
4 Rh 0.0055 0.0055 0.0000